# 1
Entry from Alexandria via LeMat-Bulk: crystalline TmHgPd2 at its relaxed geometry (PBE).

For the formation energy, the calculation gives -0.675 eV per atom. The crystal system is tetragonal. The density of states at the Fermi level comes out at 0.35 states/eV per atom.

The structure belongs to space group P4/mmm (No. 123); the cell edges are 3.5746, 3.5746 and 6.0465 Å and the angles 90.00°, 90.00° and 90.00°. Symmetry generates all atoms from Tm at (0.0000, 0.0000, 0.0000), Hg at (0.0000, 0.0000, 0.5000) and Pd at (0.5000, 0.5000, 0.2513).



# 2
Entry from Alexandria via LeMat-Bulk: crystalline Pa2AlBi at its relaxed geometry (PBE).

For the formation energy, the calculation gives 0.026 eV per atom. The energy relative to the lowest polymorph listed for this composition is 33 meV/atom. The crystal system is tetragonal. The density of states at the Fermi level comes out at 2.07 states/eV per atom.

The structure belongs to space group P4/mmm (No. 123); the cell edges are 4.6518, 4.6518 and 4.5968 Å and the angles 90.00°, 90.00° and 90.00°. Symmetry generates all atoms from Pa at (0.0000, 0.5000, 0.0000), Al at (0.0000, 0.0000, 0.5000) and Bi at (0.5000, 0.5000, 0.5000).



# 3
Entry from Alexandria via LeMat-Bulk: crystalline MnCuI2N at its relaxed geometry (PBE).

The energy relative to the lowest polymorph listed for this composition is 378 meV/atom. The crystal system is tetragonal. The value obtained for the uncorrected formation energy is 0.83 eV/atom. The density of states at the Fermi level comes out at 0.38 states/eV per atom.

The structure belongs to space group P4/mmm (No. 123); the cell edges are 5.6114, 5.6114 and 3.6992 Å and the angles 90.00°, 90.00° and 90.00°. Symmetry generates all atoms from Mn at (0.0000, 0.0000, 0.0000), Cu at (0.5000, 0.5000, 0.5000), I at (0.0000, 0.5000, 0.5000) and N at (0.5000, 0.5000, 0.0000).